# 1
{
  "formula": "LiCuRuCl6",
  "functional": "GGA-PBE",
  "state": "relaxed",
  "e_form_raw_ev_per_atom": -0.74,
  "mass_density_g_cm3": 3.54,
  "cell": [[6.125, 0.000, 0.000], [-3.062, 5.304, 0.000], [0.000, 0.000, 11.091]],
  "species": ["Li", "Li", "Cu", "Cu", "Ru", "Ru", "Cl", "Cl", "Cl", "Cl", "Cl", "Cl", "Cl", "Cl", "Cl", "Cl", "Cl", "Cl"],
  "frac_coords": [[0.333, 0.667, 0.250], [0.667, 0.333, 0.750], [0.000, 0.000, 0.000], [0.000, 0.000, 0.500], [0.333, 0.667, 0.750], [0.667, 0.333, 0.250], [0.017, 0.351, 0.627], [0.017, 0.666, 0.873], [0.334, 0.351, 0.873], [0.334, 0.983, 0.627], [0.351, 0.017, 0.127], [0.351, 0.334, 0.373], [0.649, 0.666, 0.627], [0.649, 0.983, 0.873], [0.666, 0.017, 0.373], [0.666, 0.649, 0.127], [0.983, 0.334, 0.127], [0.983, 0.649, 0.373]]
}

***

# 2
{
  "formula": "LiCuS2Cl",
  "functional": "GGA-PBE",
  "state": "relaxed",
  "relative_energy_ev_per_atom": 0.516,
  "e_form_raw_ev_per_atom": 0.40,
  "mass_density_g_cm3": 2.59,
  "cell": [[4.057, 0.000, 0.000], [0.000, 4.057, 0.000], [0.000, 0.000, 6.618]],
  "species": ["Li", "Cu", "S", "S", "Cl"],
  "frac_coords": [[0.000, 0.000, 0.000], [0.500, 0.500, 0.500], [0.000, 0.500, 0.000], [0.500, 0.000, 0.000], [0.000, 0.000, 0.500]]
}